Entry one
Pm2Pr3Sm8 | GGA-PBE | optimized geometry

POSCAR file:
```
Pm2Pr3Sm8
1.0
-6.039 0.180 -3.839
-0.825 -9.254 0.862
0.696 5.385 7.975
Sm Pr Pm
8 3 2
Cartesian
-3.629 -2.649 0.153 Sm
-0.163 0.644 6.758 Sm
-2.238 2.339 4.531 Sm
-0.295 -4.157 5.586 Sm
-2.539 -1.040 4.846 Sm
-3.930 -6.028 0.468 Sm
-5.873 0.469 -0.586 Sm
-6.005 -4.333 -1.759 Sm
-0.679 -7.622 0.710 Pr
-0.145 -1.632 0.152 Pr
-3.020 0.090 -1.919 Pr
-3.172 -4.113 3.311 Pm
-2.996 0.424 1.688 Pm
```

**Symmetry**: No. 12
**Crystal system**: monoclinic

Entry two
Pm2Pr3Sm8 | GGA-PBE | optimized geometry

POSCAR file:
```
Pm2Pr3Sm8
1.0
6.185 0.735 0.418
-0.830 10.299 -5.839
2.325 -1.889 8.399
Sm Pr Pm
8 3 2
Cartesian
1.204 7.419 0.853 Sm
1.163 5.679 -2.210 Sm
6.476 1.726 2.125 Sm
2.447 4.012 0.546 Sm
5.639 0.113 5.278 Sm
6.518 3.466 5.188 Sm
2.042 9.032 -2.301 Sm
5.234 5.134 2.431 Sm
3.093 0.368 0.209 Pr
-0.199 2.475 -1.403 Pr
-0.630 7.825 -4.436 Pr
3.285 2.152 3.329 Pm
4.396 6.993 -0.352 Pm
```

**Symmetry**: No. 12
**Crystal system**: monoclinic

Q: Which of them is the most stable? A: entry two.

Entry one
Pm3PrSm7 | GGA-PBE | optimized geometry

POSCAR file:
```
Pm3PrSm7
1.0
6.466 0.035 0.456
0.446 7.720 1.114
0.016 0.057 7.812
Sm Pm Pr
7 3 1
Cartesian
5.200 7.165 5.846 Sm
0.231 3.888 4.463 Sm
1.727 0.646 3.536 Sm
1.713 5.941 6.907 Sm
1.877 3.303 1.214 Sm
5.051 4.508 8.168 Sm
5.215 1.871 2.475 Sm
0.372 6.397 2.270 Pm
0.090 1.379 6.656 Pm
3.233 0.018 0.228 Pm
3.464 3.906 4.691 Pr
```

**Symmetry**: No. 12
**Crystal system**: monoclinic

Entry two
Pm3PrSm7 | GGA-PBE | optimized geometry

POSCAR file:
```
Pm3PrSm7
1.0
-4.423 1.786 3.586
-1.797 -7.694 -3.343
5.843 -4.430 4.454
Pr Sm Pm
1 7 3
Cartesian
-0.188 -5.169 2.348 Pr
-0.770 -0.572 4.300 Sm
2.023 -6.062 0.555 Sm
0.393 -9.766 0.396 Sm
-3.804 -1.868 1.203 Sm
-0.304 -8.202 3.732 Sm
3.428 -8.470 3.493 Sm
-0.072 -2.136 0.965 Sm
4.255 -5.108 2.833 Pm
-0.209 -7.016 -1.723 Pm
-2.211 0.893 1.793 Pm
```

**Symmetry**: No. 12
**Crystal system**: monoclinic

Q: Which of them is the most stable? A: entry one.

Entry one
Pm4PrSm6 | GGA-PBE | optimized geometry

POSCAR file:
```
Pm4PrSm6
1.0
7.579 -3.030 -5.610
-5.256 8.154 1.994
-1.953 3.030 9.225
Sm Pm Pr
6 4 1
Cartesian
1.162 2.562 -1.808 Sm
-3.938 6.109 8.333 Sm
-5.115 7.935 5.756 Sm
2.813 0.000 1.808 Sm
3.480 0.219 -1.435 Sm
-1.266 5.075 4.175 Sm
0.224 2.960 1.995 Pm
-1.297 2.012 5.860 Pm
-3.348 5.194 1.369 Pm
-2.418 9.172 7.605 Pm
0.000 0.000 0.000 Pr
```

**Symmetry**: No. 121
**Crystal system**: tetragonal

Entry two
Pm4PrSm6 | GGA-PBE | optimized geometry

POSCAR file:
```
Pm4PrSm6
1.0
-3.037 1.925 0.469
-5.472 -9.307 2.763
5.049 6.044 7.885
Sm Pm Pr
6 4 1
Cartesian
-2.829 -6.032 6.435 Sm
-0.673 1.471 3.620 Sm
-0.864 -0.004 8.432 Sm
1.609 4.202 7.184 Sm
-2.643 -4.597 1.754 Sm
-0.423 -1.940 5.221 Sm
-2.482 -1.092 2.427 Pm
1.542 0.927 6.178 Pm
-5.271 -5.835 3.835 Pm
-2.698 -2.755 7.853 Pm
0.000 0.000 0.000 Pr
```

**Symmetry**: No. 187
**Crystal system**: hexagonal

Q: Which of them is the most stable? A: entry two.

Entry one
Pm2Pr4Sm3 | GGA-PBE | optimized geometry

POSCAR file:
```
Pm2Pr4Sm3
1.0
5.902 0.000 0.000
-2.951 5.472 -8.217
0.000 -2.235 13.117
Pm Pr Sm
2 4 3
Cartesian
0.000 1.074 6.525 Pm
2.951 2.162 -1.625 Pm
2.951 3.733 -4.717 Pr
0.000 -0.497 9.616 Pr
2.951 1.554 1.639 Pr
0.000 1.682 3.261 Pr
2.951 -0.244 4.872 Sm
0.000 3.480 0.027 Sm
0.000 0.000 0.000 Sm
```

**Symmetry**: No. 12
**Crystal system**: monoclinic

Entry two
Pm2Pr4Sm3 | GGA-PBE | optimized geometry

POSCAR file:
```
Pm2Pr4Sm3
1.0
-3.473 -1.054 -0.533
1.833 -1.153 2.960
-8.788 21.891 13.971
Pm Pr Sm
2 4 3
Cartesian
-9.381 18.037 12.837 Pm
-2.472 0.827 1.853 Pm
-5.507 8.387 6.678 Pr
-3.598 3.631 3.643 Pr
-4.787 11.925 7.611 Pr
-6.715 16.728 10.676 Pr
-2.827 7.041 4.494 Sm
-8.640 21.523 13.736 Sm
-7.452 13.231 9.769 Sm
```

**Symmetry**: No. 156
**Crystal system**: trigonal

Q: Which of them is the most stable? A: entry two.

Entry one
PmPr6Sm12 | GGA-PBE | optimized geometry

POSCAR file:
```
PmPr6Sm12
1.0
-6.187 6.378 1.606
-4.175 -7.281 3.332
5.935 1.707 6.588
Sm Pr Pm
12 6 1
Cartesian
-6.910 2.212 3.833 Sm
-1.434 -4.889 6.432 Sm
-0.797 2.371 4.162 Sm
-0.240 -1.412 4.640 Sm
-0.831 0.922 8.266 Sm
2.482 -1.408 7.693 Sm
-2.993 5.693 5.095 Sm
1.703 3.884 7.025 Sm
-3.631 -1.567 7.365 Sm
-4.188 2.216 6.887 Sm
-3.597 -0.118 3.260 Sm
-6.130 -3.079 4.502 Sm
-0.264 -2.632 8.085 Pr
2.020 1.054 5.983 Pr
-3.137 -3.531 4.322 Pr
-6.448 -0.249 5.543 Pr
-4.163 3.437 3.442 Pr
-1.290 4.335 7.204 Pr
0.000 0.000 0.000 Pm
```

**Symmetry**: No. 166
**Crystal system**: trigonal

Entry two
PmPr6Sm12 | GGA-PBE | optimized geometry

POSCAR file:
```
PmPr6Sm12
1.0
-7.080 -3.717 -3.953
-1.242 -3.064 8.285
-3.164 8.272 1.068
Sm Pr Pm
12 6 1
Cartesian
-9.334 -0.053 2.402 Sm
-6.238 3.667 0.840 Sm
-2.151 1.544 2.998 Sm
-4.238 0.913 5.854 Sm
-3.744 1.366 -0.341 Sm
-8.266 3.217 3.772 Sm
-4.734 3.835 3.994 Sm
-5.248 -2.176 4.560 Sm
-3.220 -1.727 1.628 Sm
-6.752 -2.345 1.406 Sm
-7.742 0.125 5.740 Sm
-7.247 0.577 -0.454 Sm
-6.403 3.441 7.111 Pr
-9.691 3.074 0.219 Pr
-1.795 -1.583 5.180 Pr
-5.083 -1.951 -1.711 Pr
-2.877 4.800 1.116 Pr
-8.609 -3.310 4.283 Pr
0.000 0.000 0.000 Pm
```

**Symmetry**: No. 166
**Crystal system**: trigonal

Q: Which of them is the most stable? A: entry two.

Entry one
Pm12PrSm7 | GGA-PBE | optimized geometry

POSCAR file:
```
Pm12PrSm7
1.0
-5.802 2.837 -6.170
-2.613 -8.526 0.516
-4.110 3.133 7.285
Sm Pm Pr
7 12 1
Cartesian
-8.072 -3.915 4.957 Sm
-4.453 1.359 -3.326 Sm
-9.027 -4.082 -2.631 Sm
-6.263 -1.278 0.816 Sm
-2.654 -5.050 0.445 Sm
-3.499 1.526 4.263 Sm
-9.871 2.494 1.186 Sm
-3.362 -1.746 -1.364 Pm
-3.762 1.366 0.443 Pm
-5.432 -4.238 2.557 Pm
-7.093 1.682 -0.926 Pm
-5.822 -1.201 4.320 Pm
-2.911 -1.667 2.227 Pm
-9.163 -0.810 2.995 Pm
-5.873 -4.314 -0.948 Pm
-6.653 1.759 2.579 Pm
-6.703 -1.355 -2.689 Pm
-9.615 -0.889 -0.596 Pm
-8.764 -3.921 1.188 Pm
0.000 0.000 0.000 Pr
```

**Symmetry**: No. 166
**Crystal system**: trigonal

Entry two
Pm12PrSm7 | GGA-PBE | optimized geometry

POSCAR file:
```
Pm12PrSm7
1.0
9.444 0.000 -3.339
-4.722 8.178 -3.339
0.000 0.000 10.017
Pm Sm Pr
12 7 1
Cartesian
3.561 2.059 -0.004 Pm
-1.184 2.059 6.657 Pm
1.160 6.119 3.343 Pm
-1.158 6.124 -3.335 Pm
-0.003 4.114 0.004 Pm
3.530 6.124 -0.020 Pm
4.725 4.064 3.335 Pm
5.879 2.055 6.674 Pm
5.905 6.119 -3.319 Pm
7.068 0.005 0.020 Pm
1.192 2.055 3.359 Pm
-2.347 8.174 3.319 Pm
2.361 4.089 1.669 Sm
4.722 0.000 -1.669 Sm
2.361 4.089 -3.339 Sm
0.000 0.000 5.008 Sm
-2.361 4.089 -1.669 Sm
4.722 0.000 3.339 Sm
-2.361 4.089 3.339 Sm
0.000 0.000 0.000 Pr
```

**Symmetry**: No. 229
**Crystal system**: cubic

Q: Which of them is the most stable? A: entry one.

Entry one
Pm4PrSm | GGA-PBE | optimized geometry

POSCAR file:
```
Pm4PrSm
1.0
3.663 0.000 0.000
0.000 4.979 -1.355
0.000 -2.087 11.979
Pm Sm Pr
4 1 1
Cartesian
0.000 1.926 7.070 Pm
1.832 2.976 1.111 Pm
0.000 0.967 3.554 Pm
1.832 -0.083 9.514 Pm
1.832 -1.043 5.990 Sm
0.000 0.000 0.000 Pr
```

**Symmetry**: No. 47
**Crystal system**: orthorhombic

Entry two
Pm4PrSm | GGA-PBE | optimized geometry

POSCAR file:
```
Pm4PrSm
1.0
-2.933 2.749 5.071
-6.139 -0.997 1.786
1.791 -4.641 3.546
Sm Pm Pr
1 4 1
Cartesian
0.000 0.000 0.000 Sm
-1.231 -3.850 5.592 Pm
-6.051 0.961 4.810 Pm
-0.791 -1.783 2.805 Pm
-6.491 -1.106 7.597 Pm
-3.641 -1.444 5.201 Pr
```

**Symmetry**: No. 12
**Crystal system**: monoclinic

Entry three
Pm4PrSm | GGA-PBE | optimized geometry

POSCAR file:
```
Pm4PrSm
1.0
-5.287 -1.665 -3.788
-0.154 -5.940 -3.125
-4.243 -4.773 2.071
Pm Pr Sm
4 1 1
Cartesian
-3.413 -6.902 -1.136 Pm
-6.049 -7.732 -3.024 Pm
-5.973 -4.770 -1.466 Pm
-3.934 -5.352 -4.057 Pm
0.000 0.000 0.000 Pr
-2.421 -3.095 -1.210 Sm
```

**Symmetry**: No. 216
**Crystal system**: cubic

Q: Which of them is the most stable? A: entry one.

Entry one
Pm5Pr3Sm3 | GGA-PBE | optimized geometry

POSCAR file:
```
Pm5Pr3Sm3
1.0
3.498 0.000 0.000
0.000 11.424 0.000
0.000 -5.712 9.893
Sm Pm Pr
3 5 3
Cartesian
0.000 -3.409 5.905 Sm
0.000 2.302 3.988 Sm
0.000 6.819 0.000 Sm
1.749 9.590 0.000 Pm
1.749 5.712 3.298 Pm
1.749 0.917 1.588 Pm
1.749 -4.795 8.305 Pm
1.749 0.000 6.595 Pm
1.749 3.766 6.522 Pr
1.749 -1.946 3.371 Pr
1.749 3.892 0.000 Pr
```

**Symmetry**: No. 189
**Crystal system**: hexagonal

Entry two
Pm5Pr3Sm3 | GGA-PBE | optimized geometry

POSCAR file:
```
Pm5Pr3Sm3
1.0
5.624 0.000 0.000
0.000 8.485 -4.899
0.000 0.000 9.797
Pr Pm Sm
3 5 3
Cartesian
5.625 3.563 2.057 Pr
0.000 4.922 -2.842 Pr
0.000 0.000 5.684 Pr
2.812 0.000 3.594 Pm
2.812 2.828 4.899 Pm
2.812 3.113 -1.797 Pm
2.812 5.656 0.000 Pm
2.812 5.372 3.102 Pm
2.812 6.209 -3.585 Sm
2.812 0.000 7.170 Sm
2.812 2.275 1.314 Sm
```

**Symmetry**: No. 189
**Crystal system**: hexagonal

Q: Which of them is the most stable? A: entry one.